A relaxed TaAs2Cl crystal. Source: Alexandria, functional GGA-PBE.

The structure in extended XYZ format:
```
4
Lattice="3.404 0.000 0.000 0.000 3.310 0.000 -1.680 0.000 8.236" Properties=species:S:1:pos:R:3 pbc="T T T"
Ta 0.000 0.000 0.000
As 0.023 1.655 7.036
As 1.724 0.000 5.490
Cl -0.001 1.655 1.869
```

Summary:
Space-group type: No. 6
DOS at the Fermi energy: 2.4 states/eV per cell
Formation energy from raw total energies: -0.289 eV/atom
Offset from the most stable computed form: 0.072 eV per atom
Total magnetization: 0.00 μB per formula unit


A relaxed Tb2ZnGe crystal. Source: Alexandria, functional GGA-PBE.

The structure in extended XYZ format:
```
4
Lattice="4.126 0.000 0.000 0.000 2.111 5.454 0.000 -2.111 5.454" Properties=species:S:1:pos:R:3 pbc="T T T"
Tb 0.000 0.000 0.000
Tb 2.063 0.000 3.073
Zn 0.000 0.000 7.794
Ge 2.063 0.000 6.149
```

Summary:
Space-group type: No. 38
DOS at the Fermi energy: 3.8 states/eV per cell
Formation energy from the elements: -0.620 eV/atom
Total magnetization: 0.44 μB per formula unit


A relaxed Zr2AuSe crystal. Source: Alexandria, functional GGA-PBE.

The structure in extended XYZ format:
```
4
Lattice="0.000 3.472 3.472 3.472 0.000 3.472 3.472 3.472 0.000" Properties=species:S:1:pos:R:3 pbc="T T T"
Zr 0.000 0.000 0.000
Zr 1.736 1.736 1.736
Au 5.208 5.208 5.208
Se 3.472 3.472 3.472
```

Summary:
Space-group type: No. 216
DOS at the Fermi energy: 4.4 states/eV per cell
Formation energy from raw total energies: 0.094 eV/atom
Total magnetization: 1.74 μB per formula unit


A relaxed Be2P crystal. Source: Alexandria, functional GGA-PBE.

The structure in extended XYZ format:
```
6
Lattice="-1.515 1.515 7.275 1.515 -1.515 7.275 1.515 1.515 -7.275" Properties=species:S:1:pos:R:3 pbc="T T T"
Be 1.515 0.758 0.803
Be 1.515 0.758 2.835
Be 0.000 0.758 4.440
Be 0.000 0.758 6.472
P 1.515 -0.758 5.456
P 0.000 2.273 1.819
```

Summary:
Space-group type: No. 141
DOS at the Fermi energy: 1.5 states/eV per cell
Offset from the most stable computed form: 0.565 eV per atom
Formation energy from the elements: 0.429 eV/atom
Total magnetization: 0.00 μB per formula unit


A relaxed Cd3AgCl crystal. Source: Alexandria, functional GGA-PBE.

The structure in extended XYZ format:
```
5
Lattice="5.337 0.000 0.000 0.000 5.337 0.000 0.000 0.000 5.337" Properties=species:S:1:pos:R:3 pbc="T T T"
Cd 0.000 0.000 2.669
Cd 0.000 2.669 0.000
Cd 2.669 0.000 0.000
Ag 0.000 0.000 0.000
Cl 2.669 2.669 2.669
```

Summary:
Space-group type: No. 221
DOS at the Fermi energy: 1.2 states/eV per cell
Formation energy from raw total energies: -0.033 eV/atom
Offset from the most stable computed form: 0.000 eV per atom
Total magnetization: 0.00 μB per formula unit


A relaxed SrTaSe2N crystal. Source: Alexandria, functional GGA-PBE.

The structure in extended XYZ format:
```
5
Lattice="5.246 0.000 0.000 0.000 5.246 0.000 0.000 0.000 3.987" Properties=species:S:1:pos:R:3 pbc="T T T"
Sr 0.000 0.000 0.000
Ta 2.623 2.623 1.993
Se 0.000 2.623 1.993
Se 2.623 0.000 1.993
N 2.623 2.623 0.000
```

Summary:
Space-group type: No. 123
DOS at the Fermi energy: 1.0 states/eV per cell
Formation energy from raw total energies: -0.985 eV/atom
Offset from the most stable computed form: 0.000 eV per atom
Total magnetization: 0.00 μB per formula unit


A relaxed AgRhN2 crystal. Source: Alexandria, functional GGA-PBE.

The structure in extended XYZ format:
```
8
Lattice="-2.479 2.479 4.579 2.479 -2.479 4.579 2.479 2.479 -4.579" Properties=species:S:1:pos:R:3 pbc="T T T"
Ag 0.000 0.000 0.000
Ag 0.000 2.479 2.289
Rh 2.479 0.000 2.289
Rh 0.000 0.000 4.579
N 1.239 -0.933 3.434
N 1.546 1.239 1.145
N 1.239 3.412 -1.145
N 0.933 1.239 5.724
```

Summary:
Space-group type: No. 122
DOS at the Fermi energy: 5.2 states/eV per cell
Formation energy from raw total energies: 0.895 eV/atom
Offset from the most stable computed form: 0.048 eV per atom
Total magnetization: 0.00 μB per formula unit


A relaxed NiPt8Rh6 crystal. Source: Alexandria, functional GGA-PBE.

The structure in extended XYZ format:
```
15
Lattice="7.333 0.000 0.000 -3.666 6.350 0.000 0.000 0.000 5.238" Properties=species:S:1:pos:R:3 pbc="T T T"
Ni 0.000 0.000 0.000
Pt -2.176 4.369 2.123
Pt 0.971 2.282 2.123
Pt 0.000 4.234 4.005
Pt 2.461 0.300 3.115
Pt 1.205 6.050 2.123
Pt 3.666 2.117 1.232
Pt 2.695 4.069 3.115
Pt 5.842 1.982 3.115
Rh -0.988 2.301 0.484
Rh -1.179 6.056 0.484
Rh 1.498 2.007 4.754
Rh 2.168 4.344 0.484
Rh 4.846 0.294 4.754
Rh 4.655 4.049 4.754
```

Summary:
Space-group type: No. 147
DOS at the Fermi energy: 26.4 states/eV per cell
Offset from the most stable computed form: 0.000 eV per atom
Formation energy from the elements: 0.250 eV/atom
Total magnetization: 0.00 μB per formula unit


- The highest DOS at the Fermi energy belongs to which entry?
  NiPt8Rh6


- Which of these has the lowest DOS at the Fermi energy?
  SrTaSe2N


Repeat the first record exactly.
A relaxed TaAs2Cl crystal. Source: Alexandria, functional GGA-PBE.

The structure in extended XYZ format:
```
4
Lattice="3.404 0.000 0.000 0.000 3.310 0.000 -1.680 0.000 8.236" Properties=species:S:1:pos:R:3 pbc="T T T"
Ta 0.000 0.000 0.000
As 0.023 1.655 7.036
As 1.724 0.000 5.490
Cl -0.001 1.655 1.869
```

Summary:
Space-group type: No. 6
DOS at the Fermi energy: 2.4 states/eV per cell
Formation energy from raw total energies: -0.289 eV/atom
Offset from the most stable computed form: 0.072 eV per atom
Total magnetization: 0.00 μB per formula unit